Compound: Tl2AgSb
Source: Alexandria
Functional: PBE
Structure: optimized geometry

Cell: 3.4393 3.4393 9.0902 Å, 90.00 90.00 90.00°
Fractional positions:
Tl (0.0000, 0.0000, 0.0000)
Tl (0.5000, 0.5000, 0.2973)
Ag (0.0000, 0.0000, 0.5186)
Sb (0.5000, 0.5000, 0.7177)

Properties
Crystal system ... tetragonal
Size of the total moment ... 0.00 μB/f.u.
Uncorrected energy ... -2.865 eV/atom
Formation energy (no corrections) ... 0.061 eV per atom
Space-group type ... P4mm



Compound: NdGe2Pd5Au
Source: Alexandria
Functional: PBE
Structure: optimized geometry

Cell: 4.1936 4.1936 9.2604 Å, 90.00 90.00 90.00°
Fractional positions:
Nd (0.0000, 0.0000, 0.0000)
Ge (0.5000, 0.5000, 0.3711)
Ge (0.5000, 0.5000, 0.6289)
Pd (0.0000, 0.5000, 0.2335)
Pd (0.0000, 0.5000, 0.7665)
Pd (0.5000, 0.0000, 0.2335)
Pd (0.5000, 0.0000, 0.7665)
Pd (0.5000, 0.5000, 0.0000)
Au (0.0000, 0.0000, 0.5000)

Properties
Formation enthalpy at 0 K ... -458 meV per atom
Crystal system ... tetragonal
Size of the total moment ... 0.00 μB/f.u.
Uncorrected energy ... -5.263 eV/atom
Space-group type ... P4/mmm



Compound: MgCoIr2
Source: Alexandria
Functional: PBE
Structure: optimized geometry

Cell: 5.2307 5.2307 5.2307 Å, 148.78 128.34 61.61°
Fractional positions:
Mg (0.0000, 0.0000, 0.0000)
Co (0.5000, 0.5000, 0.0000)
Ir (0.2694, 0.7694, 0.5000)
Ir (0.7306, 0.2306, 0.5000)

Properties
Formation enthalpy at 0 K ... -18 meV per atom
Crystal system ... orthorhombic
Size of the total moment ... 2.08 μB/f.u.
Uncorrected energy ... -6.623 eV/atom
Space-group type ... Immm



Copy entry 2 word for word.
Compound: NdGe2Pd5Au
Source: Alexandria
Functional: PBE
Structure: optimized geometry

Cell: 4.1936 4.1936 9.2604 Å, 90.00 90.00 90.00°
Fractional positions:
Nd (0.0000, 0.0000, 0.0000)
Ge (0.5000, 0.5000, 0.3711)
Ge (0.5000, 0.5000, 0.6289)
Pd (0.0000, 0.5000, 0.2335)
Pd (0.0000, 0.5000, 0.7665)
Pd (0.5000, 0.0000, 0.2335)
Pd (0.5000, 0.0000, 0.7665)
Pd (0.5000, 0.5000, 0.0000)
Au (0.0000, 0.0000, 0.5000)

Properties
Formation enthalpy at 0 K ... -458 meV per atom
Crystal system ... tetragonal
Size of the total moment ... 0.00 μB/f.u.
Uncorrected energy ... -5.263 eV/atom
Space-group type ... P4/mmm